Below is an optimized crystal structure of PuTl2TeSe4, with properties calculated at the PBE-GGA level.

Summary:
DOS at the Fermi energy: 1.42 states/eV/atom
Crystal system: monoclinic
Uncorrected formation energy: -590 meV/atom

CIF file:
```
data_PuTl2TeSe4
_space_group_name_H-M_alt 'P 1 2/m 1'
_space_group_IT_number 10
_cell_length_a 8.1164
_cell_length_b 4.1115
_cell_length_c 8.5543
_cell_angle_alpha 90.00
_cell_angle_beta 114.41
_cell_angle_gamma 90.00
loop_
_space_group_symop_operation_xyz
'x,y,z'
'-x,-y,-z'
'-x,y,-z'
'x,-y,z'
loop_
_atom_site_label
_atom_site_fract_x
_atom_site_fract_y
_atom_site_fract_z
_atom_site_occupancy
Pu1 0.0000 0.0000 0.0000 1
Tl1 0.0000 0.0000 0.5000 1
Tl2 0.5000 0.5000 0.0000 1
Te1 0.5000 0.5000 0.5000 1
Se1 0.0719 0.5000 0.8149 1
Se2 0.3822 0.0000 0.2460 1
```